Tb6PrSm2Y | the Alexandria database | GGA-PBE | optimized geometry; uncorrected energy = -4.726 eV per atom; M_tot = 0.000 μB per formula unit; crystal system = monoclinic; ρ = 7.41 g/cm³
1.0
-9.2952 -2.7470 -1.2336
2.9122 -8.1665 1.7629
-1.7617 5.3918 6.7901
Tb Pr Sm Y
12 2 4 2
Direct
0.0564 0.1238 0.7467 Tb
0.4436 0.2533 0.8762 Tb
0.9436 0.8762 0.2533 Tb
0.5564 0.7467 0.1238 Tb
0.3157 0.9714 0.4226 Tb
0.1843 0.5774 0.0286 Tb
0.6843 0.0286 0.5774 Tb
0.8157 0.4226 0.9714 Tb
0.1214 0.7089 0.5012 Tb
0.3786 0.4988 0.2911 Tb
0.8786 0.2911 0.4988 Tb
0.6214 0.5012 0.7089 Tb
0.2500 0.4052 0.5948 Pr
0.7500 0.5948 0.4052 Pr
0.4584 0.8106 0.7044 Sm
0.0416 0.2956 0.1894 Sm
0.5416 0.1894 0.2956 Sm
0.9584 0.7044 0.8106 Sm
0.2500 0.9805 0.0195 Y
0.7500 0.0195 0.9805 Y